Record 1
Compound: Y2TaP
Source: the Alexandria database
Functional: PBE
Structure: relaxed

Computed properties:
Energy   -7.5402 eV/atom
ΔH_f (0 K)   0.0 eV per formula unit
Magnetization   0.00 μB/cell

Cell: 9.5218 9.5218 4.7797 Å, 90.00 90.00 90.00°
Space group I-42d (No. 122)
Asymmetric unit:
Y  0.1208  0.2500  0.1250
Ta  0.0000  0.0000  0.5000
P  0.0000  0.0000  0.0000

***

Record 2
Compound: YTa2P2
Source: the Alexandria database
Functional: PBE
Structure: relaxed

Computed properties:
Energy   -8.8204 eV/atom
ΔH_f (0 K)   -3.1 eV per formula unit
Magnetization   0.00 μB/cell
Excess energy over the best structure of this formula in the dataset   0.000 eV per formula unit

Cell: 7.2439 7.2439 3.3053 Å, 90.00 90.00 90.00°
Space group P4/mbm (No. 127)
Asymmetric unit:
Y  0.0000  0.0000  0.0000
Ta  0.1424  0.3576  0.5000
P  0.1397  0.6397  0.0000

***

Record 3
Compound: YTaP4
Source: the Alexandria database
Functional: PBE
Structure: relaxed

Computed properties:
Energy   -7.2613 eV/atom
ΔH_f (0 K)   -3.6 eV per formula unit
Magnetization   0.00 μB/cell
Excess energy over the best structure of this formula in the dataset   0.000 eV per formula unit

Cell: 5.7177 5.7984 7.6141 Å, 90.00 116.47 90.00°
Space group P2/c (No. 13)
Asymmetric unit:
Y  0.0000  0.1682  0.2500
Ta  0.5000  0.1600  0.7500
P  0.2132  0.4925  0.5983
P  0.3374  0.1758  0.0103

***

Record 4
Compound: YTaP4
Source: the Alexandria database
Functional: PBE
Structure: relaxed

Computed properties:
Energy   -6.4137 eV/atom
ΔH_f (0 K)   1.5 eV per formula unit
Magnetization   0.00 μB/cell
Excess energy over the best structure of this formula in the dataset   5.085 eV per formula unit

Cell: 7.3460 7.3460 7.3460 Å, 90.00 90.00 90.00°
Space group F-43m (No. 216)
Asymmetric unit:
Y  0.0000  0.0000  0.0000
Ta  0.2500  0.2500  0.2500
P  0.1230  0.1230  0.6230

***

Record 5
Compound: Y2TaP
Source: the Alexandria database
Functional: PBE
Structure: relaxed

Computed properties:
Energy   -7.8619 eV/atom
ΔH_f (0 K)   -1.3 eV per formula unit
Magnetization   0.00 μB/cell

Cell: 3.4209 5.1414 10.4632 Å, 90.00 90.00 90.00°
Space group Imm2 (No. 44)
Asymmetric unit:
Y  0.0000  0.0000  0.0000
Y  0.0000  0.5000  0.1905
Ta  0.0000  0.5000  0.8120
P  0.0000  0.0000  0.4803

***

Record 6
Compound: Y2TaP
Source: the Alexandria database
Functional: PBE
Structure: relaxed

Computed properties:
Energy   -7.7819 eV/atom
ΔH_f (0 K)   -0.9 eV per formula unit
Magnetization   0.00 μB/cell

Cell: 3.4003 3.7631 15.5510 Å, 90.00 90.00 90.00°
Space group Immm (No. 71)
Asymmetric unit:
Y  0.0000  0.0000  0.1598
Ta  0.0000  0.5000  0.0000
P  0.0000  0.5000  0.5000

***

Record 7
Compound: Y2TaP
Source: the Alexandria database
Functional: PBE
Structure: relaxed

Computed properties:
Energy   -7.4518 eV/atom
ΔH_f (0 K)   0.4 eV per formula unit
Magnetization   0.01 μB/cell

Cell: 4.3496 4.3496 9.0950 Å, 90.00 90.00 90.00°
Space group I4/mmm (No. 139)
Asymmetric unit:
Y  0.0000  0.5000  0.2500
Ta  0.0000  0.0000  0.0000
P  0.0000  0.0000  0.5000

***

Record 8
Compound: Y2TaP
Source: the Alexandria database
Functional: PBE
Structure: relaxed

Computed properties:
Energy   -7.5444 eV/atom
ΔH_f (0 K)   0.0 eV per formula unit
Magnetization   0.00 μB/cell

Cell: 4.2476 4.2476 9.7418 Å, 90.00 90.00 90.00°
Space group I-4m2 (No. 119)
Asymmetric unit:
Y  0.0000  0.0000  0.0000
Y  0.0000  0.5000  0.2500
Ta  0.0000  0.0000  0.5000
P  0.0000  0.5000  0.7500

***

Record 9
Compound: YTa3P
Source: the Alexandria database
Functional: PBE
Structure: relaxed

Computed properties:
Energy   -6.8849 eV/atom
ΔH_f (0 K)   13.0 eV per formula unit
Magnetization   0.00 μB/cell
Excess energy over the best structure of this formula in the dataset   12.415 eV per formula unit

Cell: 4.9293 4.9293 4.9293 Å, 90.00 90.00 90.00°
Space group Pm-3m (No. 221)
Asymmetric unit:
Y  0.0000  0.0000  0.0000
Ta  0.0000  0.0000  0.5000
P  0.5000  0.5000  0.5000

***

Record 10
Compound: YTaP
Source: the Alexandria database
Functional: PBE
Structure: relaxed

Computed properties:
Energy   -6.8809 eV/atom
ΔH_f (0 K)   3.1 eV per formula unit
Magnetization   12.80 μB/cell

Cell: 6.7042 6.7042 6.7042 Å, 90.00 90.00 90.00°
Space group F-43m (No. 216)
Asymmetric unit:
Y  0.0000  0.0000  0.0000
Ta  0.2500  0.2500  0.7500
P  0.2500  0.2500  0.2500

***

Record 11
Compound: Y2TaP
Source: the Alexandria database
Functional: PBE
Structure: relaxed

Computed properties:
Energy   -7.8246 eV/atom
ΔH_f (0 K)   -1.1 eV per formula unit
Magnetization   0.00 μB/cell

Cell: 3.5182 3.5182 7.2077 Å, 90.00 90.00 90.00°
Space group P4/mmm (No. 123)
Asymmetric unit:
Y  0.0000  0.0000  0.2194
Ta  0.5000  0.5000  0.5000
P  0.5000  0.5000  0.0000

***

Record 12
Compound: Y2TaP
Source: the Alexandria database
Functional: PBE
Structure: relaxed

Computed properties:
Energy   -7.2683 eV/atom
ΔH_f (0 K)   1.1 eV per formula unit
Magnetization   8.17 μB/cell

Cell: 6.9586 6.9586 6.9586 Å, 90.00 90.00 90.00°
Space group F-43m (No. 216)
Asymmetric unit:
Y  0.0000  0.0000  0.0000
Y  0.2500  0.2500  0.2500
Ta  0.0000  0.0000  0.5000
P  0.2500  0.2500  0.7500

***

Record 13
Compound: YTaP
Source: the Alexandria database
Functional: PBE
Structure: relaxed

Computed properties:
Energy   -8.4540 eV/atom
ΔH_f (0 K)   -1.6 eV per formula unit
Magnetization   0.73 μB/cell

Cell: 3.5428 3.5428 5.8459 Å, 90.00 90.00 120.00°
Space group P3m1 (No. 156)
Asymmetric unit:
Y  0.0000  0.0000  0.0000
Ta  0.3333  0.6667  0.5504
P  0.6667  0.3333  0.3126

***

Record 14
Compound: YTa4P
Source: the Alexandria database
Functional: PBE
Structure: relaxed

Computed properties:
Energy   -9.3851 eV/atom
ΔH_f (0 K)   3.0 eV per formula unit
Magnetization   0.00 μB/cell

Cell: 7.9236 7.9236 7.9236 Å, 90.00 90.00 90.00°
Space group F-43m (No. 216)
Asymmetric unit:
Y  0.0000  0.0000  0.0000
Ta  0.1275  0.1275  0.3725
P  0.2500  0.2500  0.7500

***

Record 15
Compound: Y2TaP
Source: the Alexandria database
Functional: PBE
Structure: relaxed

Computed properties:
Energy   -7.6176 eV/atom
ΔH_f (0 K)   -0.3 eV per formula unit
Magnetization   1.17 μB/cell

Cell: 4.7637 4.7637 3.8499 Å, 90.00 90.00 90.00°
Space group P4/mmm (No. 123)
Asymmetric unit:
Y  0.0000  0.5000  0.0000
Ta  0.0000  0.0000  0.5000
P  0.5000  0.5000  0.5000

***

Record 16
Compound: YTaP
Source: the Alexandria database
Functional: PBE
Structure: relaxed

Computed properties:
Energy   -8.1633 eV/atom
ΔH_f (0 K)   -0.8 eV per formula unit
Magnetization   0.00 μB/cell

Cell: 6.2767 6.2767 6.2767 Å, 90.00 90.00 90.00°
Space group F-43m (No. 216)
Asymmetric unit:
Y  0.0000  0.0000  0.0000
Ta  0.0000  0.0000  0.5000
P  0.2500  0.2500  0.2500

***

Record 17
Compound: Y2TaP
Source: the Alexandria database
Functional: PBE
Structure: relaxed

Computed properties:
Energy   -7.5963 eV/atom
ΔH_f (0 K)   -0.2 eV per formula unit
Magnetization   0.00 μB/cell

Cell: 6.4252 8.4003 3.2358 Å, 90.00 90.00 90.00°
Space group Cmmm (No. 65)
Asymmetric unit:
Y  0.2500  0.2500  0.0000
Ta  0.0000  0.0000  0.5000
P  0.0000  0.5000  0.5000

***

Record 18
Compound: Ta2ZnP2
Source: the Alexandria database
Functional: PBE
Structure: relaxed

Computed properties:
Energy   -7.5016 eV/atom
ΔH_f (0 K)   -1.7 eV per formula unit
Magnetization   0.00 μB/cell
Excess energy over the best structure of this formula in the dataset   0.387 eV per formula unit

Cell: 6.9361 6.9361 3.1893 Å, 90.00 90.00 90.00°
Space group P4/mbm (No. 127)
Asymmetric unit:
Ta  0.1528  0.3472  0.0000
Zn  0.0000  0.0000  0.5000
P  0.1408  0.6408  0.5000

***

Record 19
Compound: TaZn2P
Source: the Alexandria database
Functional: PBE
Structure: relaxed

Computed properties:
Energy   -4.8979 eV/atom
ΔH_f (0 K)   0.2 eV per formula unit
Magnetization   0.00 μB/cell

Cell: 3.5425 3.5425 4.9887 Å, 90.00 90.00 90.00°
Space group P4/mmm (No. 123)
Asymmetric unit:
Ta  0.0000  0.0000  0.0000
Zn  0.5000  0.5000  0.2513
P  0.0000  0.0000  0.5000

***

Record 20
Compound: TaZnP2
Source: the Alexandria database
Functional: PBE
Structure: relaxed

Computed properties:
Energy   -5.8997 eV/atom
ΔH_f (0 K)   0.3 eV per formula unit
Magnetization   0.00 μB/cell

Cell: 4.1278 4.1278 7.0767 Å, 90.00 90.00 90.00°
Space group I4/mmm (No. 139)
Asymmetric unit:
Ta  0.0000  0.0000  0.0000
Zn  0.0000  0.0000  0.5000
P  0.0000  0.5000  0.2500

***

Record 21
Compound: Ta4ZnP
Source: the Alexandria database
Functional: PBE
Structure: relaxed

Computed properties:
Energy   -8.3290 eV/atom
ΔH_f (0 K)   4.1 eV per formula unit
Magnetization   0.00 μB/cell

Cell: 7.6843 7.6843 7.6843 Å, 90.00 90.00 90.00°
Space group F-43m (No. 216)
Asymmetric unit:
Ta  0.1238  0.1238  0.1238
Zn  0.2500  0.2500  0.7500
P  0.0000  0.0000  0.5000

***

Record 22
Compound: TaZnP2
Source: the Alexandria database
Functional: PBE
Structure: relaxed

Computed properties:
Energy   -6.0459 eV/atom
ΔH_f (0 K)   -0.2 eV per formula unit
Magnetization   0.00 μB/cell

Cell: 5.6599 5.6599 10.8023 Å, 90.00 90.00 90.00°
Space group I-42d (No. 122)
Asymmetric unit:
Ta  0.0000  0.0000  0.0000
Zn  0.0000  0.0000  0.5000
P  0.2494  0.2500  0.6250

***

Record 23
Compound: TaZnP2
Source: the Alexandria database
Functional: PBE
Structure: relaxed

Computed properties:
Energy   -6.1824 eV/atom
ΔH_f (0 K)   -0.8 eV per formula unit
Magnetization   0.00 μB/cell

Cell: 3.5002 3.5002 5.2341 Å, 90.00 90.00 90.00°
Space group P4mm (No. 99)
Asymmetric unit:
Ta  0.0000  0.0000  0.0000
Zn  0.5000  0.5000  0.3616
P  0.0000  0.0000  0.4827
P  0.5000  0.5000  0.8903

***

Record 24
Compound: TaZnP2
Source: the Alexandria database
Functional: PBE
Structure: relaxed

Computed properties:
Energy   -6.2548 eV/atom
ΔH_f (0 K)   -1.1 eV per formula unit
Magnetization   0.00 μB/cell

Cell: 3.2753 3.2753 5.7372 Å, 90.00 90.00 90.00°
Space group P4/mmm (No. 123)
Asymmetric unit:
Ta  0.0000  0.0000  0.0000
Zn  0.0000  0.0000  0.5000
P  0.5000  0.5000  0.2233

***

Record 25
Compound: TaZnP2
Source: the Alexandria database
Functional: PBE
Structure: relaxed

Computed properties:
Energy   -5.9072 eV/atom
ΔH_f (0 K)   0.3 eV per formula unit
Magnetization   0.00 μB/cell

Cell: 7.0945 6.8045 2.7888 Å, 90.00 107.43 90.00°
Space group C2/m (No. 12)
Asymmetric unit:
Ta  0.0000  0.0000  0.0000
Zn  0.0000  0.5000  0.0000
P  0.2500  0.2500  0.5000

***

Record 26
Compound: TaZn2P
Source: the Alexandria database
Functional: PBE
Structure: relaxed

Computed properties:
Energy   -4.7068 eV/atom
ΔH_f (0 K)   1.0 eV per formula unit
Magnetization   0.00 μB/cell

Cell: 2.7900 2.7900 8.2998 Å, 90.00 90.00 90.00°
Space group P4/mmm (No. 123)
Asymmetric unit:
Ta  0.0000  0.0000  0.0000
Zn  0.5000  0.5000  0.2494
P  0.0000  0.0000  0.5000

***

Record 27
Compound: TaZnP
Source: the Alexandria database
Functional: PBE
Structure: relaxed

Computed properties:
Energy   -6.3530 eV/atom
ΔH_f (0 K)   -0.5 eV per formula unit
Magnetization   0.00 μB/cell

Cell: 3.1834 3.1834 9.2105 Å, 90.00 90.00 90.00°
Space group I4mm (No. 107)
Asymmetric unit:
Ta  0.0000  0.0000  0.0000
Zn  0.0000  0.0000  0.3042
P  0.0000  0.0000  0.6330

***

Record 28
Compound: TaZn2P2
Source: the Alexandria database
Functional: PBE
Structure: relaxed

Computed properties:
Energy   -4.9833 eV/atom
ΔH_f (0 K)   0.3 eV per formula unit
Magnetization   0.00 μB/cell
Excess energy over the best structure of this formula in the dataset   0.753 eV per formula unit

Cell: 3.3815 3.3815 14.4975 Å, 90.00 90.00 90.00°
Space group I4/mmm (No. 139)
Asymmetric unit:
Ta  0.0000  0.0000  0.0000
Zn  0.0000  0.5000  0.2500
P  0.0000  0.0000  0.4163

***

Record 29
Compound: TaZnP2
Source: the Alexandria database
Functional: PBE
Structure: relaxed

Computed properties:
Energy   -6.0352 eV/atom
ΔH_f (0 K)   -0.2 eV per formula unit
Magnetization   0.00 μB/cell

Cell: 8.7337 3.0581 4.9210 Å, 90.00 93.59 90.00°
Space group C2/m (No. 12)
Asymmetric unit:
Ta  0.0000  0.0000  0.0000
Zn  0.0000  0.5000  0.5000
P  0.2233  0.5000  0.1785